## P
VASP calculation (PBE) on a relaxed structure of BeNb3I.

abc: 4.991 4.991 4.991
angles: 90.00 90.00 90.00
Fractional positions:
1 I 0.000 0.000 0.000
2 Be 0.500 0.500 0.500
3 Nb 0.000 0.500 0.000
4 Nb 0.000 0.000 0.500
5 Nb 0.500 0.000 0.000

---

## Q
VASP calculation (PBE) on a relaxed structure of BeNb3I.

abc: 4.542 4.542 4.542
angles: 90.00 90.00 90.00
Fractional positions:
1 I 0.500 0.500 0.500
2 Be 0.000 0.000 0.000
3 Nb 0.000 0.500 0.000
4 Nb 0.000 0.000 0.500
5 Nb 0.500 0.000 0.000

---

Which of them is the most stable? Correct choice: Q.

---

## P
VASP calculation (PBE) on a relaxed structure of BeNbI2.

abc: 6.180 6.180 7.058
angles: 64.04 64.04 90.00
Last column: magnetic moment on the atom in μB.
Fractional positions:
1 I 0.578 0.125 0.250  0.00
2 I 0.172 0.625 0.250  0.00
3 I 0.375 0.422 0.750  0.00
4 I 0.875 0.828 0.750  0.00
5 Be 0.500 0.500 0.000  0.01
6 Be 0.250 0.750 0.500  0.01
7 Nb 0.000 0.000 0.000  0.91
8 Nb 0.750 0.250 0.500  0.94

---

## Q
VASP calculation (PBE) on a relaxed structure of BeNbI2.

abc: 4.911 4.911 4.911
angles: 60.00 60.00 60.00
Fractional positions:
1 I 0.250 0.250 0.250
2 I 0.750 0.750 0.750
3 Be 0.000 0.000 0.000
4 Nb 0.500 0.500 0.500

---

Which of them is the most stable? Correct choice: Q.

---

## P
VASP calculation (PBE) on a relaxed structure of BeNbIO2.

abc: 3.880 3.880 4.675
angles: 90.00 90.00 90.00
Last column: magnetic moment on the atom in μB.
Fractional positions:
1 I 0.000 0.000 0.500  0.00
2 Be 0.000 0.000 0.000  0.01
3 Nb 0.500 0.500 0.500  1.68
4 O 0.000 0.500 0.000  -0.16
5 O 0.500 0.000 0.000  -0.16

---

## Q
VASP calculation (PBE) on a relaxed structure of BeNbIO2.

abc: 3.945 3.945 6.151
angles: 90.00 90.00 90.00
Fractional positions:
1 I 0.000 0.000 0.500
2 Be 0.500 0.500 0.500
3 Nb 0.000 0.000 0.000
4 O 0.000 0.500 0.000
5 O 0.500 0.000 0.000

---

Which of them is the most stable? Correct choice: Q.

---

## P
VASP calculation (PBE) on a relaxed structure of BeNbSb2I.

abc: 5.826 5.234 5.826
angles: 90.00 90.00 90.00
Last column: magnetic moment on the atom in μB.
Fractional positions:
1 I 0.000 0.000 0.000  -0.03
2 Sb 0.000 0.000 0.500  -0.07
3 Sb 0.500 0.000 0.000  -0.11
4 Nb 0.000 0.500 0.000  2.26
5 Be 0.500 0.500 0.500  -0.02

---

## Q
VASP calculation (PBE) on a relaxed structure of BeNbSb2I.

abc: 5.348 5.348 5.730
angles: 90.00 90.00 90.00
Fractional positions:
1 I 0.000 0.000 0.500
2 Sb 0.000 0.500 0.000
3 Sb 0.500 0.000 0.000
4 Nb 0.000 0.000 0.000
5 Be 0.500 0.500 0.500

---

## R
VASP calculation (PBE) on a relaxed structure of BeNbSb2I.

abc: 4.798 4.798 5.377
angles: 90.00 90.00 90.00
Last column: magnetic moment on the atom in μB.
Fractional positions:
1 I 0.000 0.000 0.500  -0.07
2 Sb 0.000 0.500 0.000  -0.06
3 Sb 0.500 0.000 0.000  -0.06
4 Nb 0.500 0.500 0.500  2.34
5 Be 0.000 0.000 0.000  0.04

---

Which of them is the most stable? Correct choice: Q.